A relaxed structure of DyAl6Pt3. Source: Alexandria, functional PBE-GGA.

extended XYZ file:
```
20
Lattice="8.0851 0.0000 0.0000 0.0000 4.1397 0.0000 -1.2646 0.0000 10.5624" Properties=species:S:1:pos:R:3 pbc="T T T"
Dy -0.2543 1.0349 2.8805
Dy 7.0748 3.1048 7.6819
Al -0.6639 1.0349 9.9125
Al 1.1191 3.1048 4.7335
Al 1.9044 3.1048 2.0416
Al 1.8250 3.1048 7.7127
Al 3.2843 1.0349 0.6318
Al 2.8526 1.0349 6.1382
Al 3.9678 3.1048 4.4242
Al 3.5362 3.1048 9.9305
Al 4.9954 1.0349 2.8497
Al 4.9161 1.0349 8.5208
Al 5.7013 1.0349 5.8289
Al 7.4843 3.1048 0.6499
Pt 0.3185 1.0349 5.9495
Pt 0.9219 3.1048 10.0800
Pt 2.6012 1.0349 3.5381
Pt 4.2193 3.1048 7.0243
Pt 5.8986 1.0349 0.4824
Pt 6.5019 3.1048 4.6129
```

Spin magnetization in μB per formula unit: 0.00
Formation enthalpy at 0 K in eV/atom: -0.795